Density functional theory data (GGA-PBE) for Li2Tc after structural relaxation.

Cell lengths 2.6740, 2.6740, 7.3322 Å; angles 90.00, 90.00, 120.00 degrees
Closest atoms and distances in Å follow each position.
Sites, in units of the cell vectors:
Tc 0.0000 0.0000 0.0000  6 Tc 2.67, 6 Li 2.78
Li 0.3333 0.6667 0.6843  6 Li 2.67, 3 Tc 2.78
Li 0.6667 0.3333 0.3157  6 Li 2.67, 3 Tc 2.78

Results
The symmetry is P-3m1 (164). The calculation puts the distance to the lowest polymorph of the same formula at 0.07 eV per formula unit. Its formation enthalpy at 0 K is 201 meV per atom. As for the density of states at the Fermi level: 1.40 states/eV per cell.